Record 1
A relaxed Sr2PdAu crystal. Source: the Alexandria database, functional GGA-PBE.

Values from the calculation:
Space-group type: Immm
Calculated total energy in eV per atom: -2.550
Total magnetic moment in μB per cell: 0.0
ΔH_f (0 K) in meV/atom: 408

Cell: 6.625 6.625 6.625 Å, 58.41 139.72 139.55°
Positions (direct):
Au1 0.000 0.500 0.500
Sr1 0.000 0.233 0.233
Sr2 0.000 0.767 0.767
Pd1 0.000 0.000 0.000

=====

Record 2
A relaxed SrPdAu3 crystal. Source: the Alexandria database, functional GGA-PBE.

Values from the calculation:
Space-group type: Cmcm
Calculated total energy in eV per atom: -3.835
Total magnetic moment in μB per cell: 0.0
ΔH_f (0 K) in meV/atom: -494

Cell: 5.683 5.767 7.268 Å, 113.37 90.00 90.00°
Positions (direct):
Pd1 0.500 0.000 0.000
Pd2 0.000 0.000 0.000
Sr1 0.750 0.601 0.203
Sr2 0.250 0.399 0.797
Au1 0.250 0.393 0.283
Au2 0.250 0.890 0.283
Au3 0.750 0.607 0.717
Au4 0.250 0.818 0.637
Au5 0.750 0.182 0.363
Au6 0.750 0.110 0.717

=====

Record 3
A relaxed Sr2PdAu crystal. Source: the Alexandria database, functional GGA-PBE.

Values from the calculation:
Space-group type: Fm-3m
Calculated total energy in eV per atom: -3.610
Total magnetic moment in μB per cell: 0.0
ΔH_f (0 K) in meV/atom: -651

Cell: 5.359 5.359 5.359 Å, 60.00 60.00 60.00°
Positions (direct):
Pd1 0.750 0.750 0.750
Au1 0.250 0.250 0.250
Sr1 0.500 0.500 0.500
Sr2 0.000 0.000 0.000

=====

Record 4
A relaxed Sr8Pd2Au crystal. Source: the Alexandria database, functional GGA-PBE.

Values from the calculation:
Space-group type: C2/m
Calculated total energy in eV per atom: -2.864
Total magnetic moment in μB per cell: 0.0
ΔH_f (0 K) in meV/atom: -398

Cell: 7.449 8.290 8.290 Å, 70.72 75.95 75.95°
Positions (direct):
Pd1 0.457 0.311 0.311
Pd2 0.543 0.689 0.689
Sr1 0.262 0.137 0.137
Sr2 0.741 0.939 0.361
Sr3 0.738 0.863 0.863
Sr4 0.235 0.578 0.578
Sr5 0.259 0.061 0.639
Sr6 0.765 0.422 0.422
Sr7 0.259 0.639 0.061
Sr8 0.741 0.361 0.939
Au1 0.000 0.000 0.000

=====

Record 5
A relaxed Sr2Pd2Au crystal. Source: the Alexandria database, functional GGA-PBE.

Values from the calculation:
Space-group type: P4/mbm
Calculated total energy in eV per atom: -4.015
Total magnetic moment in μB per cell: 0.0
ΔH_f (0 K) in meV/atom: -609

Cell: 7.597 7.597 4.290 Å, 90.00 90.00 90.00°
Positions (direct):
Au1 0.500 0.500 0.000
Au2 0.000 0.000 0.000
Sr1 0.823 0.323 0.500
Sr2 0.323 0.177 0.500
Sr3 0.677 0.823 0.500
Sr4 0.177 0.677 0.500
Pd1 0.372 0.872 0.000
Pd2 0.872 0.628 0.000
Pd3 0.128 0.372 0.000
Pd4 0.628 0.128 0.000

=====

Record 6
A relaxed Sr2Pd15Au2 crystal. Source: the Alexandria database, functional GGA-PBE.

Values from the calculation:
Space-group type: R-3m
Calculated total energy in eV per atom: -4.853
Total magnetic moment in μB per cell: 0.0
ΔH_f (0 K) in meV/atom: -232

Cell: 7.045 7.045 7.045 Å, 82.84 82.84 82.84°
Positions (direct):
Sr1 0.341 0.341 0.341
Sr2 0.659 0.659 0.659
Pd1 0.654 0.654 0.157
Pd2 0.000 0.500 0.000
Pd3 0.500 0.000 0.000
Pd4 0.000 0.000 0.500
Pd5 0.346 0.843 0.346
Pd6 0.843 0.346 0.346
Pd7 0.300 0.700 0.000
Pd8 0.000 0.700 0.300
Pd9 0.000 0.300 0.700
Pd10 0.157 0.654 0.654
Pd11 0.700 0.300 0.000
Pd12 0.346 0.346 0.843
Pd13 0.700 0.000 0.300
Pd14 0.300 0.000 0.700
Pd15 0.654 0.157 0.654
Au1 0.898 0.898 0.898
Au2 0.102 0.102 0.102

=====

The highest calculated total energy belongs to which entry? number 1